Si2OsPt (PBE, optimized geometry); formation energy (no corrections) = 0.098 eV per atom; SG = P4mm (99)
1.0
2.800 0.000 0.000
0.000 2.800 0.000
0.000 0.000 7.427
Si Os Pt
2 1 1
Direct
0.000 0.000 0.000 Si
0.500 0.500 0.281 Si
0.000 0.000 0.486 Os
0.500 0.500 0.765 Pt